# FeClF3 | Alexandria | PBE+U | relaxed
# Uncorrected energy = -0.3012 Ry/atom
data_FeClF3
_symmetry_space_group_name_H-M 'P m -3 m'
_symmetry_Int_Tables_number 221
_symmetry_space_group_name_Hall '-P 4 2 3'
_cell_length_a 4.041
_cell_length_b 4.041
_cell_length_c 4.041
_cell_angle_alpha 90.00
_cell_angle_beta 90.00
_cell_angle_gamma 90.00
loop_
_atom_site_label
_atom_site_type_symbol
_atom_site_fract_x
_atom_site_fract_y
_atom_site_fract_z
Fe1 Fe 0.000 0.000 0.000
Cl1 Cl 0.500 0.500 0.500
F1 F 0.000 0.000 0.500